Record 1
First-principles (PBE) data for crystalline MnSb2P at its relaxed geometry, as listed in Alexandria via LeMat-Bulk.

Values from the calculation:
Crystal system   tetragonal
E_form (uncorrected)   0.2 eV per formula unit

```
data_MnSb2P
_symmetry_space_group_name_H-M 'P 4 m m'
_symmetry_Int_Tables_number 99
_symmetry_space_group_name_Hall 'P 4 -2'
_cell_length_a 3.160
_cell_length_b 3.160
_cell_length_c 7.985
_cell_angle_alpha 90.00
_cell_angle_beta 90.00
_cell_angle_gamma 90.00
loop_
_atom_site_label
_atom_site_type_symbol
_atom_site_fract_x
_atom_site_fract_y
_atom_site_fract_z
Mn1 Mn 0.000 0.000 0.000
Sb1 Sb 0.000 0.000 0.353
Sb2 Sb 0.500 0.500 0.763
P1 P 0.500 0.500 0.108
```


Record 2
First-principles (PBE) data for crystalline SrLiNi2 at its relaxed geometry, as listed in Alexandria via LeMat-Bulk.

Values from the calculation:
Crystal system   tetragonal
Excess energy over the best structure of this formula in the dataset   279 meV per atom
Calculated formation energy   0.28 eV/atom

```
data_SrLiNi2
_symmetry_space_group_name_H-M 'P 4/m m m'
_symmetry_Int_Tables_number 123
_symmetry_space_group_name_Hall '-P 4 2'
_cell_length_a 3.356
_cell_length_b 3.356
_cell_length_c 6.349
_cell_angle_alpha 90.00
_cell_angle_beta 90.00
_cell_angle_gamma 90.00
loop_
_atom_site_label
_atom_site_type_symbol
_atom_site_fract_x
_atom_site_fract_y
_atom_site_fract_z
Sr1 Sr 0.000 0.000 0.000
Li1 Li 0.000 0.000 0.500
Ni1 Ni 0.500 0.500 0.314
```


Record 3
First-principles (PBE) data for crystalline BeZn2Si at its relaxed geometry, as listed in Alexandria via LeMat-Bulk.

Values from the calculation:
Crystal system   monoclinic
E_form (uncorrected)   1.1 eV per formula unit

```
data_BeZn2Si
_symmetry_space_group_name_H-M 'P 1 2/m 1'
_symmetry_Int_Tables_number 10
_symmetry_space_group_name_Hall '-P 2y'
_cell_length_a 2.661
_cell_length_b 4.841
_cell_length_c 4.370
_cell_angle_alpha 90.00
_cell_angle_beta 98.34
_cell_angle_gamma 90.00
loop_
_atom_site_label
_atom_site_type_symbol
_atom_site_fract_x
_atom_site_fract_y
_atom_site_fract_z
Be1 Be 0.000 0.000 0.000
Zn1 Zn 0.277 0.500 0.243
Si1 Si 0.500 0.000 0.500
```


Record 4
First-principles (PBE) data for crystalline ErNpSn6 at its relaxed geometry, as listed in Alexandria via LeMat-Bulk.

Values from the calculation:
Crystal system   tetragonal
Calculated formation energy   -0.27 eV/atom

```
data_ErNpSn6
_symmetry_space_group_name_H-M 'P 4/m m m'
_symmetry_Int_Tables_number 123
_symmetry_space_group_name_Hall '-P 4 2'
_cell_length_a 4.707
_cell_length_b 4.707
_cell_length_c 9.206
_cell_angle_alpha 90.00
_cell_angle_beta 90.00
_cell_angle_gamma 90.00
loop_
_atom_site_label
_atom_site_type_symbol
_atom_site_fract_x
_atom_site_fract_y
_atom_site_fract_z
Er1 Er 0.000 0.000 0.000
Np1 Np 0.000 0.000 0.500
Sn1 Sn 0.000 0.500 0.251
Sn2 Sn 0.500 0.500 0.000
Sn3 Sn 0.500 0.500 0.500
```


Record 5
First-principles (PBE) data for crystalline AcHo2Al6 at its relaxed geometry, as listed in Alexandria via LeMat-Bulk.

Values from the calculation:
Crystal system   hexagonal
Calculated formation energy   -0.38 eV/atom

```
data_AcHo2Al6
_symmetry_space_group_name_H-M 'P 6/m m m'
_symmetry_Int_Tables_number 191
_symmetry_space_group_name_Hall '-P 6 2'
_cell_length_a 7.9970
_cell_length_b 7.9970
_cell_length_c 3.7029
_cell_angle_alpha 90.00
_cell_angle_beta 90.00
_cell_angle_gamma 120.00
loop_
_atom_site_label
_atom_site_type_symbol
_atom_site_fract_x
_atom_site_fract_y
_atom_site_fract_z
Ac1 Ac 0.0000 0.0000 0.0000
Ho1 Ho 0.3333 0.6667 0.0000
Al1 Al 0.0000 0.3392 0.5000
```


Record 6
First-principles (PBE) data for crystalline KNaHgAu at its relaxed geometry, as listed in Alexandria via LeMat-Bulk.

Values from the calculation:
Crystal system   trigonal
Excess energy over the best structure of this formula in the dataset   0 meV per atom
Calculated formation energy   -0.25 eV/atom

```
data_KNaHgAu
_symmetry_space_group_name_H-M 'R 3 m'
_symmetry_Int_Tables_number 160
_symmetry_space_group_name_Hall 'R 3 -2"'
_cell_length_a 4.9924
_cell_length_b 4.9924
_cell_length_c 17.7737
_cell_angle_alpha 90.00
_cell_angle_beta 90.00
_cell_angle_gamma 120.00
loop_
_atom_site_label
_atom_site_type_symbol
_atom_site_fract_x
_atom_site_fract_y
_atom_site_fract_z
K1 K 0.0000 0.0000 0.0000
Na1 Na 0.0000 0.0000 0.8037
Hg1 Hg 0.0000 0.0000 0.5505
Au1 Au 0.0000 0.0000 0.1983
```


Record 7
First-principles (PBE) data for crystalline GaBiP3 at its relaxed geometry, as listed in Alexandria via LeMat-Bulk.

Values from the calculation:
Crystal system   cubic
Excess energy over the best structure of this formula in the dataset   562 meV per atom
Calculated formation energy   1.27 eV/atom

```
data_GaBiP3
_symmetry_space_group_name_H-M 'P m -3 m'
_symmetry_Int_Tables_number 221
_symmetry_space_group_name_Hall '-P 4 2 3'
_cell_length_a 5.292
_cell_length_b 5.292
_cell_length_c 5.292
_cell_angle_alpha 90.00
_cell_angle_beta 90.00
_cell_angle_gamma 90.00
loop_
_atom_site_label
_atom_site_type_symbol
_atom_site_fract_x
_atom_site_fract_y
_atom_site_fract_z
Ga1 Ga 0.000 0.000 0.000
Bi1 Bi 0.500 0.500 0.500
P1 P 0.000 0.500 0.500
```


Record 8
First-principles (PBE) data for crystalline PmInHgSb at its relaxed geometry, as listed in Alexandria via LeMat-Bulk.

Values from the calculation:
Crystal system   cubic
E_form (uncorrected)   -1.5 eV per formula unit

```
data_PmInHgSb
_symmetry_space_group_name_H-M 'F -4 3 m'
_symmetry_Int_Tables_number 216
_symmetry_space_group_name_Hall 'F -4 2 3'
_cell_length_a 7.636
_cell_length_b 7.636
_cell_length_c 7.636
_cell_angle_alpha 90.00
_cell_angle_beta 90.00
_cell_angle_gamma 90.00
loop_
_atom_site_label
_atom_site_type_symbol
_atom_site_fract_x
_atom_site_fract_y
_atom_site_fract_z
Pm1 Pm 0.000 0.000 0.000
In1 In 0.000 0.000 0.500
Hg1 Hg 0.250 0.250 0.250
Sb1 Sb 0.250 0.250 0.750
```


Record 9
First-principles (PBE) data for crystalline Nd9Ni26P12 at its relaxed geometry, as listed in Alexandria via LeMat-Bulk.

Values from the calculation:
Crystal system   hexagonal
Calculated formation energy   -0.78 eV/atom

```
data_Nd9Ni26P12
_symmetry_space_group_name_H-M 'P -6 m 2'
_symmetry_Int_Tables_number 187
_symmetry_space_group_name_Hall 'P -6 2'
_cell_length_a 14.3939
_cell_length_b 14.3939
_cell_length_c 3.8779
_cell_angle_alpha 90.00
_cell_angle_beta 90.00
_cell_angle_gamma 120.00
loop_
_atom_site_label
_atom_site_type_symbol
_atom_site_fract_x
_atom_site_fract_y
_atom_site_fract_z
Nd1 Nd 0.1820 0.0910 0.0000
Nd2 Nd 0.2404 0.4808 0.5000
Nd3 Nd 0.5240 0.0480 0.5000
Ni1 Ni 0.0000 0.0000 0.5000
Ni2 Ni 0.0058 0.2862 0.5000
Ni3 Ni 0.1396 0.5698 0.0000
Ni4 Ni 0.1430 0.2859 0.0000
Ni5 Ni 0.3333 0.6667 0.0000
Ni6 Ni 0.4083 0.1203 0.0000
Ni7 Ni 0.5354 0.2677 0.5000
Ni8 Ni 0.6114 0.2228 0.0000
P1 P 0.0579 0.3876 0.0000
P2 P 0.0920 0.1840 0.5000
P3 P 0.3620 0.1810 0.5000
```


no.,energy (eV/atom)
1,-5.657
2,-3.513
3,-2.643
4,-5.455
5,-4.351
6,-1.747
7,-3.356
8,-3.343
9,-6.272